No. 1
Crystalline MnNbCl3 at its relaxed geometry. Source: Alexandria via LeMat-Bulk, functional PBE-GGA.

a b c (Å): 4.6210 4.6210 4.6210
angles (deg): 90.00 90.00 90.00
Closest atoms and distances in Å follow each position.
Atoms (fractional coordinates):
Mn: 0.0000 0.0000 0.0000  6 Cl 2.31
Nb: 0.5000 0.5000 0.5000  12 Cl 3.27
Cl: 0.0000 0.0000 0.5000  2 Mn 2.31
Cl: 0.0000 0.5000 0.0000  2 Mn 2.31
Cl: 0.5000 0.0000 0.0000  2 Mn 2.31

Values from the calculation:
- Energy above the most stable polymorph in this dataset: 0.586 eV per atom
- Symmetry: Pm-3m, No. 221
- Energy relative to the elements, uncorrected: 0.467 eV/atom

***

No. 2
Crystalline Li3TaPd7 at its relaxed geometry. Source: Alexandria via LeMat-Bulk, functional PBE-GGA.

a b c (Å): 6.1588 6.1588 5.1019
angles (deg): 106.99 106.99 93.19
Closest atoms and distances in Å follow each position.
Atoms (fractional coordinates):
Li: 0.0000 0.0000 0.0000  6 Pd 2.54-2.56
Li: 0.2275 0.7725 0.5000  7 Pd 2.44-2.62
Li: 0.7725 0.2275 0.5000  7 Pd 2.44-2.62
Ta: 0.5000 0.5000 0.0000  8 Pd 2.55-2.70
Pd: 0.0662 0.5832 0.8176  3 Li 2.54-2.62, 4 Pd 2.66-2.82, 1 Ta 2.69
Pd: 0.1844 0.1844 0.5439  3 Li 2.52-2.54, 1 Ta 2.70, 3 Pd 2.70-2.77
Pd: 0.4168 0.9338 0.1824  3 Li 2.54-2.62, 4 Pd 2.66-2.82, 1 Ta 2.69
Pd: 0.5000 0.5000 0.5000  2 Li 2.44, 2 Ta 2.55
Pd: 0.5832 0.0662 0.8176  3 Li 2.54-2.62, 4 Pd 2.66-2.82, 1 Ta 2.69
Pd: 0.8156 0.8156 0.4561  3 Li 2.52-2.54, 1 Ta 2.70, 3 Pd 2.70-2.77
Pd: 0.9338 0.4168 0.1824  3 Li 2.54-2.62, 4 Pd 2.66-2.82, 1 Ta 2.69

Values from the calculation:
- E_form: -0.141 eV per atom
- Symmetry: C2/m, No. 12

***

No. 3
Crystalline ScAl2Cl at its relaxed geometry. Source: Alexandria via LeMat-Bulk, functional PBE-GGA.

a b c (Å): 5.0681 5.0681 3.1698
angles (deg): 90.00 90.00 90.00
Closest atoms and distances in Å follow each position.
Atoms (fractional coordinates):
Sc: 0.0000 0.0000 0.0000  8 Al 2.99, 2 Sc 3.17
Al: 0.0000 0.5000 0.5000  4 Cl 2.99, 4 Sc 2.99, 2 Al 3.17
Al: 0.5000 0.0000 0.5000  4 Cl 2.99, 4 Sc 2.99, 2 Al 3.17
Cl: 0.5000 0.5000 0.0000  8 Al 2.99, 2 Cl 3.17

Values from the calculation:
- Energy above the most stable polymorph in this dataset: 0.314 eV per atom
- Symmetry: P4/mmm, No. 123
- Energy relative to the elements, uncorrected: -0.215 eV/atom

***

no.,raw total energy (eV per atom)
1,-4.4893
2,-5.0450
3,-4.1306